No. 1
A plane-wave DFT calculation with PBE-GGA was carried out for BaLi4Er after structural relaxation.

- ΔH_f (0 K): 0.15 eV per atom
- Space group: F-43m (216)

a = 6.202 Å, b = 6.202 Å, c = 6.202 Å
α = 60.00°, β = 60.00°, γ = 60.00°
Atoms (fractional coordinates):
Ba 0.000 0.000 0.000
Li 0.378 0.378 0.378
Li 0.378 0.378 0.867
Li 0.378 0.867 0.378
Li 0.867 0.378 0.378
Er 0.750 0.750 0.750

No. 2
A plane-wave DFT calculation with PBE-GGA was carried out for Pr2Sm6Ho3 after structural relaxation.

- ΔH_f (0 K): 0.28 eV per atom
- Space group: I4/mmm (139)

a = 17.290 Å, b = 17.290 Å, c = 17.290 Å
α = 164.08°, β = 164.08°, γ = 22.59°
Atoms (fractional coordinates):
Pr 0.046 0.046 0.000
Pr 0.954 0.954 0.000
Sm 0.123 0.623 0.500
Sm 0.199 0.199 0.000
Sm 0.377 0.877 0.500
Sm 0.623 0.123 0.500
Sm 0.801 0.801 0.000
Sm 0.877 0.377 0.500
Ho 0.300 0.300 0.000
Ho 0.500 0.500 0.000
Ho 0.700 0.700 0.000